No. 1
First-principles (PBE) data for a relaxed LaPtPb3 crystal, as listed in Alexandria.

The structure in POSCAR format:
```
LaPtPb3
1.0
6.017 0.000 0.000
0.000 6.017 0.000
0.000 0.000 6.017
La Pt Pb
1 1 3
direct
0.000 0.000 0.000
0.500 0.500 0.500
0.000 0.000 0.500
0.000 0.500 0.000
0.500 0.000 0.000
```

Properties
ΔE_f, meV/atom: 1204
Volume, Å³/f.u.: 218



No. 2
First-principles (PBE) data for a relaxed AlCu2Tc crystal, as listed in Alexandria.

The structure in POSCAR format:
```
AlCu2Tc
1.0
1.347 0.777 8.571
-1.347 0.777 8.571
0.000 -1.555 8.571
Al Cu Tc
1 2 1
direct
0.000 0.000 0.000
0.252 0.252 0.252
0.748 0.748 0.748
0.500 0.500 0.500
```

Properties
ΔE_f, meV/atom: 109
Volume, Å³/f.u.: 54



No. 3
First-principles (PBE) data for a relaxed Fe5Pd8Au crystal, as listed in Alexandria.

The structure in POSCAR format:
```
Fe5Pd8Au
1.0
-3.774 3.774 3.820
3.774 -3.774 3.820
3.774 3.774 -3.820
Fe Pd Au
5 8 1
direct
0.000 0.000 0.000
0.282 0.624 0.086
0.376 0.462 0.657
0.538 0.196 0.914
0.804 0.718 0.343
0.019 0.420 0.262
0.102 0.164 0.740
0.158 0.757 0.738
0.243 0.981 0.401
0.425 0.363 0.260
0.580 0.842 0.599
0.637 0.898 0.062
0.836 0.575 0.938
0.750 0.250 0.500
```

Properties
ΔE_f, meV/atom: 129
Volume, Å³/f.u.: 218



No. 4
First-principles (PBE) data for a relaxed W2SeBr crystal, as listed in Alexandria.

The structure in POSCAR format:
```
W2SeBr
1.0
4.695 -1.632 0.000
4.695 1.632 0.000
-4.256 0.000 6.365
W Se Br
2 1 1
direct
0.225 0.225 0.369
0.775 0.775 0.631
0.000 0.000 0.500
0.500 0.500 0.000
```

Properties
Formation energy without anion corrections, eV per atom: 0.568
Volume, Å³/f.u.: 98



No. 5
First-principles (PBE) data for a relaxed CoRhSeBr2 crystal, as listed in Alexandria.

The structure in POSCAR format:
```
CoRhSeBr2
1.0
5.088 0.000 0.000
0.000 5.088 0.000
0.000 0.000 4.804
Co Rh Se Br
1 1 1 2
direct
0.000 0.000 0.000
0.500 0.500 0.500
0.500 0.500 0.000
0.000 0.500 0.500
0.500 0.000 0.500
```

Properties
Formation energy without anion corrections, eV per atom: 0.698
Volume, Å³/f.u.: 124



No. 6
First-principles (PBE) data for a relaxed HfRe4 crystal, as listed in Alexandria.

The structure in POSCAR format:
```
HfRe4
1.0
4.646 0.000 0.000
0.000 4.646 0.000
0.000 0.000 4.646
Hf Re
1 4
direct
0.000 0.000 0.000
0.000 0.000 0.500
0.000 0.500 0.000
0.500 0.000 0.000
0.500 0.500 0.500
```

Properties
ΔE_f, meV/atom: 2827
Volume, Å³/f.u.: 100



No. 7
First-principles (PBE) data for a relaxed YHoN crystal, as listed in Alexandria.

The structure in POSCAR format:
```
YHoN
1.0
3.495 0.000 0.000
-1.748 3.027 0.000
0.000 0.000 5.954
Y Ho N
1 1 1
direct
0.000 0.000 0.000
0.333 0.667 0.449
0.667 0.333 0.232
```

Properties
Formation energy without anion corrections, eV per atom: -1.054
Volume, Å³/f.u.: 63



No. 8
First-principles (PBE) data for a relaxed LiAg3Cl8 crystal, as listed in Alexandria.

The structure in POSCAR format:
```
LiAg3Cl8
1.0
7.396 -3.551 0.000
7.396 3.551 0.000
-2.825 0.000 6.152
Li Ag Cl
1 3 8
direct
0.000 0.000 0.000
0.000 0.500 0.500
0.500 0.000 0.500
0.500 0.500 0.000
0.237 0.237 0.235
0.245 0.245 0.749
0.251 0.730 0.751
0.270 0.749 0.249
0.730 0.251 0.751
0.749 0.270 0.249
0.755 0.755 0.251
0.763 0.763 0.765
```

Properties
Formation energy without anion corrections, eV per atom: -0.536
Volume, Å³/f.u.: 323



> Number 2 is which compound?

AlCu2Tc